[1]
TlCd4Fe after structural relaxation. Source: Alexandria via LeMat-Bulk, functional GGA-PBE.

Cell: 8.186 8.186 8.186 Å, 90.00 90.00 90.00°
Space group F-43m (No. 216)
Inequivalent atoms, fractional coordinates:
Tl (0.000, 0.000, 0.000) (multiplicity 4)
Cd (0.124, 0.124, 0.624) (multiplicity 16)
Fe (0.250, 0.250, 0.250) (multiplicity 4)

Computed properties:
**Final energy**: -1.9937 eV per atom
**Magnetization**: 12.07 μB per cell
**D(E_F)**: 3.57 states/eV/f.u.


[2]
Pm2ScHg after structural relaxation. Source: Alexandria via LeMat-Bulk, functional GGA-PBE.

Cell: 7.657 7.657 7.657 Å, 90.00 90.00 90.00°
Space group Fm-3m (No. 225)
Inequivalent atoms, fractional coordinates:
Pm (0.250, 0.250, 0.250) (multiplicity 8)
Sc (0.000, 0.000, 0.000) (multiplicity 4)
Hg (0.000, 0.000, 0.500) (multiplicity 4)

Computed properties:
**Final energy**: -4.1259 eV per atom
**Magnetization**: 1.21 μB per cell
**D(E_F)**: 6.07 states/eV/f.u.


[3]
Cu2Hg2S after structural relaxation. Source: Alexandria via LeMat-Bulk, functional GGA-PBE.

Cell: 6.164 6.164 5.968 Å, 90.00 90.00 90.00°
Space group P4/mbm (No. 127)
Inequivalent atoms, fractional coordinates:
Cu (0.233, 0.267, 0.000) (multiplicity 4)
Hg (0.186, 0.314, 0.500) (multiplicity 4)
S (0.000, 0.000, 0.000) (multiplicity 2)

Computed properties:
**Formation energy without anion corrections**: 58 meV per atom
**Magnetization**: 0.00 μB per cell
**D(E_F)**: 0.05 states/eV/f.u.


[4]
LiCrTc2 after structural relaxation. Source: Alexandria via LeMat-Bulk, functional GGA-PBE.

Cell: 2.963 4.269 8.790 Å, 90.00 90.00 90.00°
Space group Cmmm (No. 65)
Inequivalent atoms, fractional coordinates:
Li (0.000, 0.000, 0.000) (multiplicity 2)
Cr (0.000, 0.000, 0.500) (multiplicity 2)
Tc (0.000, 0.500, 0.267) (multiplicity 4)

Computed properties:
**Final energy**: -7.8824 eV per atom
**Magnetization**: 0.00 μB per cell
**D(E_F)**: 3.69 states/eV/f.u.


[5]
Na12ZnIn7 after structural relaxation. Source: Alexandria via LeMat-Bulk, functional GGA-PBE.

Cell: 13.2134 13.2134 11.1731 Å, 90.00 90.00 120.00°
Space group R-3 (No. 148, hexagonal axes)
Inequivalent atoms, fractional coordinates:
Na (0.9996, 0.2615, 0.9998) (multiplicity 18)
Na (0.0809, 0.9169, 0.7459) (multiplicity 18)
Zn (0.0000, 0.0000, 0.5000) (multiplicity 3)
In (0.0000, 0.0000, 0.0000) (multiplicity 3)
In (0.0678, 0.5344, 0.1211) (multiplicity 18)

Computed properties:
**Final energy**: -1.8770 eV per atom
**Magnetization**: 0.00 μB per cell
**D(E_F)**: 7.83 states/eV/f.u.


[6]
Zr2Mn2GaCo5 after structural relaxation. Source: Alexandria via LeMat-Bulk, functional GGA-PBE.

Cell: 8.768 8.768 3.563 Å, 90.00 90.00 90.00°
Space group P4/mbm (No. 127)
Inequivalent atoms, fractional coordinates:
Zr (0.179, 0.321, 0.000) (multiplicity 4)
Mn (0.119, 0.619, 0.000) (multiplicity 4)
Ga (0.000, 0.000, 0.000) (multiplicity 2)
Co (0.000, 0.500, 0.500) (multiplicity 2)
Co (0.061, 0.792, 0.500) (multiplicity 8)

Computed properties:
**Final energy**: -7.4946 eV per atom
**Magnetization**: 14.97 μB per cell
**D(E_F)**: 11.48 states/eV/f.u.


[7]
Y2MgIrC after structural relaxation. Source: Alexandria via LeMat-Bulk, functional GGA-PBE.

Cell: 5.062 5.062 3.916 Å, 90.00 90.00 90.00°
Space group P4/mmm (No. 123)
Inequivalent atoms, fractional coordinates:
Y (0.000, 0.500, 0.000) (multiplicity 2)
Mg (0.000, 0.000, 0.500) (multiplicity 1)
Ir (0.500, 0.500, 0.500) (multiplicity 1)
C (0.500, 0.500, 0.000) (multiplicity 1)

Computed properties:
**Final energy**: -6.9482 eV per atom
**Magnetization**: 0.00 μB per cell
**D(E_F)**: 2.12 states/eV/f.u.


[8]
Si2RuWN after structural relaxation. Source: Alexandria via LeMat-Bulk, functional GGA-PBE.

Cell: 4.405 4.405 4.872 Å, 90.00 90.00 90.00°
Space group P4/mmm (No. 123)
Inequivalent atoms, fractional coordinates:
Si (0.000, 0.500, 0.000) (multiplicity 2)
Ru (0.000, 0.000, 0.000) (multiplicity 1)
W (0.000, 0.000, 0.500) (multiplicity 1)
N (0.500, 0.500, 0.500) (multiplicity 1)

Computed properties:
**Formation energy without anion corrections**: 1864 meV per atom
**Magnetization**: 0.83 μB per cell
**D(E_F)**: 4.60 states/eV/f.u.


[9]
PuScGaOs after structural relaxation. Source: Alexandria via LeMat-Bulk, functional GGA-PBE.

Cell: 6.762 6.762 6.762 Å, 90.00 90.00 90.00°
Space group F-43m (No. 216)
Inequivalent atoms, fractional coordinates:
Pu (0.000, 0.000, 0.000) (multiplicity 4)
Sc (0.000, 0.000, 0.500) (multiplicity 4)
Ga (0.250, 0.250, 0.250) (multiplicity 4)
Os (0.250, 0.250, 0.750) (multiplicity 4)

Computed properties:
**Final energy**: -8.9709 eV per atom
**Magnetization**: 19.61 μB per cell
**D(E_F)**: 7.35 states/eV/f.u.


[10]
Pm4TlAg after structural relaxation. Source: Alexandria via LeMat-Bulk, functional GGA-PBE.

Cell: 3.739 3.739 13.018 Å, 90.00 90.00 90.00°
Space group P4/mmm (No. 123)
Inequivalent atoms, fractional coordinates:
Pm (0.000, 0.000, 0.144) (multiplicity 2)
Pm (0.500, 0.500, 0.340) (multiplicity 2)
Tl (0.000, 0.000, 0.500) (multiplicity 1)
Ag (0.500, 0.500, 0.000) (multiplicity 1)

Computed properties:
**Final energy**: -4.2250 eV per atom
**Magnetization**: 1.57 μB per cell
**D(E_F)**: 6.19 states/eV/f.u.


[11]
SrNbAu after structural relaxation. Source: Alexandria via LeMat-Bulk, functional GGA-PBE.

Cell: 6.610 8.547 5.187 Å, 90.00 90.00 90.00°
Space group Ima2 (No. 46)
Inequivalent atoms, fractional coordinates:
Sr (0.250, 0.119, 0.000) (multiplicity 4)
Nb (0.250, 0.736, 0.779) (multiplicity 4)
Au (0.000, 0.000, 0.507) (multiplicity 4)

Computed properties:
**Final energy**: -5.0615 eV per atom
**Magnetization**: 0.00 μB per cell
**D(E_F)**: 2.70 states/eV/f.u.